Here is crystalline BWNO2 at its relaxed geometry from the Alexandria database. Energies are from GGA+U.

Structure (POSCAR):
```
BWNO2
1.0
-0.0269 0.0156 -3.8997
3.4738 -1.7720 -0.0310
-1.8190 -3.5658 -0.0018
O N W B
2 1 1 1
Cartesian
1.7369 -0.8860 -0.0155
-0.0134 0.0078 -1.9498
-0.9095 -1.7829 -0.0009
0.0000 0.0000 0.0000
0.8140 -2.6611 -1.9662
```

Values from the calculation:
- DFT total energy (eV/atom) = -6.334
- DOS(E_F) (states/eV/f.u.) = 0.61
- total magnetic moment (μB per atom) = 0.010